Entry 1:
The following is a GGA-PBE calculation of an optimized crystal structure of RbScVSb2, from Alexandria via LeMat-Bulk.

Cell: 5.565 5.381 5.565 Å, 90.00 90.00 90.00°
Last column: magnetic moment on the atom in μB.
Fractional coordinates of all 5 atoms:
Sc (0.000, 0.000, 0.000)  0.09
Sb (0.000, 0.000, 0.500)  -0.08
Sb (0.500, 0.000, 0.000)  -0.07
Rb (0.500, 0.500, 0.500)  0.01
V (0.000, 0.500, 0.000)  2.88

Properties
For the raw total energy, the calculation gives -22.795 eV for the cell shown. The uncorrected formation energy comes out at 0.374 eV per atom. Its calculated volume is 166.7 Å³/f.u.

Entry 2:
The following is a GGA-PBE calculation of an optimized crystal structure of AcGeRh2, from Alexandria via LeMat-Bulk.

Cell: 3.309 3.309 7.097 Å, 90.00 90.00 90.00°
Fractional coordinates of all 4 atoms:
Ac (0.500, 0.500, 0.500)
Rh (0.000, 0.000, 0.809)
Rh (0.000, 0.000, 0.191)
Ge (0.500, 0.500, 0.000)

Properties
For the raw total energy, the calculation gives -24.678 eV for the cell shown. As for the formation enthalpy at 0 K: -312 meV/atom. Its calculated volume is 77.7 Å³/f.u.

Entry 3:
The following is a GGA-PBE calculation of an optimized crystal structure of Ta3CrRe, from Alexandria via LeMat-Bulk.

Cell: 4.848 4.848 4.848 Å, 90.00 90.00 90.00°
Last column: magnetic moment on the atom in μB.
Fractional coordinates of all 5 atoms:
Re (0.000, 0.000, 0.000)  0.11
Cr (0.500, 0.500, 0.500)  3.79
Ta (0.000, 0.500, 0.000)  -0.01
Ta (0.000, 0.000, 0.500)  0.03
Ta (0.500, 0.000, 0.000)  -0.09

Properties
For the raw total energy, the calculation gives -50.328 eV for the cell shown. As for the formation enthalpy at 0 K: 1460 meV/atom. The calculation puts the polymorph energy (0 for the lowest one) at 0.222 eV/atom. Its calculated volume is 113.9 Å³/f.u.

Entry 4:
The following is a GGA-PBE calculation of an optimized crystal structure of Ho2PuPN5, from Alexandria via LeMat-Bulk.

Cell: 3.145 8.225 9.342 Å, 90.00 90.00 101.02°
Last column: magnetic moment on the atom in μB.
Fractional coordinates of all 18 atoms:
Ho (0.889, 0.779, 0.816)  0.02
Ho (0.096, 0.193, 0.673)  0.02
Ho (0.111, 0.221, 0.316)  0.02
Ho (0.904, 0.807, 0.173)  0.02
Pu (0.781, 0.563, 0.519)  4.26
Pu (0.219, 0.437, 0.019)  4.26
P (0.553, 0.105, 0.935)  0.01
P (0.447, 0.895, 0.435)  0.01
N (0.358, 0.716, 0.009)  -0.07
N (0.647, 0.295, 0.868)  -0.06
N (0.496, 0.991, 0.792)  -0.01
N (0.303, 0.606, 0.680)  -0.20
N (0.960, 0.921, 0.531)  -0.02
N (0.642, 0.284, 0.509)  -0.07
N (0.353, 0.705, 0.368)  -0.06
N (0.504, 0.009, 0.292)  -0.01
N (0.697, 0.394, 0.180)  -0.20
N (0.040, 0.079, 0.031)  -0.02

Properties
For the raw total energy, the calculation gives -159.894 eV for the cell shown. The uncorrected formation energy comes out at -1.047 eV per atom. Its calculated volume is 118.6 Å³/f.u.

Entry 5:
The following is a GGA-PBE calculation of an optimized crystal structure of DyB4Ru4, from Alexandria via LeMat-Bulk.

Cell: 9.203 9.203 9.203 Å, 131.96 131.96 70.29°
Fractional coordinates of all 36 atoms:
Dy (0.750, 0.750, 0.000)
Dy (0.250, 0.250, 0.000)
Dy (0.000, 0.500, 0.500)
Dy (0.500, 0.000, 0.500)
B (0.722, 0.414, 0.972)
B (0.222, 0.250, 0.308)
B (0.664, 0.472, 0.472)
B (0.164, 0.691, 0.192)
B (0.028, 0.836, 0.528)
B (0.528, 0.000, 0.192)
B (0.086, 0.778, 0.028)
B (0.586, 0.559, 0.308)
B (0.941, 0.914, 0.692)
B (0.441, 0.750, 0.028)
B (0.500, 0.972, 0.808)
B (0.000, 0.191, 0.528)
B (0.809, 0.336, 0.808)
B (0.309, 0.500, 0.472)
B (0.250, 0.278, 0.692)
B (0.750, 0.059, 0.972)
Ru (0.040, 0.573, 0.236)
Ru (0.540, 0.304, 0.467)
Ru (0.823, 0.790, 0.736)
Ru (0.323, 0.586, 0.033)
Ru (0.710, 0.677, 0.264)
Ru (0.210, 0.946, 0.033)
Ru (0.927, 0.460, 0.764)
Ru (0.427, 0.664, 0.467)
Ru (0.836, 0.073, 0.533)
Ru (0.336, 0.804, 0.764)
Ru (0.554, 0.290, 0.967)
Ru (0.054, 0.086, 0.264)
Ru (0.914, 0.177, 0.967)
Ru (0.414, 0.446, 0.736)
Ru (0.196, 0.960, 0.533)
Ru (0.696, 0.164, 0.236)

Properties
For the raw total energy, the calculation gives -291.566 eV for the cell shown. As for the formation enthalpy at 0 K: -497 meV/atom. The calculation puts the polymorph energy (0 for the lowest one) at 0.000 eV/atom. Its calculated volume is 105.6 Å³/f.u.

Entry 6:
The following is a GGA-PBE calculation of an optimized crystal structure of CaAg2Pd2, from Alexandria via LeMat-Bulk.

Cell: 7.623 7.623 3.320 Å, 90.00 90.00 90.00°
Fractional coordinates of all 10 atoms:
Ca (0.000, 0.000, 0.000)
Ca (0.500, 0.500, 0.000)
Pd (0.368, 0.868, 0.000)
Pd (0.868, 0.632, 0.000)
Pd (0.632, 0.132, 0.000)
Pd (0.132, 0.368, 0.000)
Ag (0.163, 0.663, 0.500)
Ag (0.663, 0.837, 0.500)
Ag (0.837, 0.337, 0.500)
Ag (0.337, 0.163, 0.500)

Properties
For the raw total energy, the calculation gives -38.806 eV for the cell shown. As for the formation enthalpy at 0 K: -263 meV/atom. The calculation puts the polymorph energy (0 for the lowest one) at 0.000 eV/atom. Its calculated volume is 96.5 Å³/f.u.

Entry 7:
The following is a GGA-PBE calculation of an optimized crystal structure of Tl2TeBr2, from Alexandria via LeMat-Bulk.

Cell: 5.568 5.568 7.697 Å, 68.80 68.80 90.00°
Last column: magnetic moment on the atom in μB.
Fractional coordinates of all 5 atoms:
Tl (0.365, 0.365, 0.269)  0.01
Tl (0.635, 0.635, 0.731)  0.01
Te (0.000, 0.000, 0.000)  0.91
Br (0.750, 0.250, 0.500)  0.07
Br (0.250, 0.750, 0.500)  0.07

Properties
For the raw total energy, the calculation gives -12.233 eV for the cell shown. The calculation puts the polymorph energy (0 for the lowest one) at 0.134 eV/atom. The uncorrected formation energy comes out at -0.203 eV per atom. Its calculated volume is 205.0 Å³/f.u.

Entry 8:
The following is a GGA-PBE calculation of an optimized crystal structure of Pr2Al2Tc2C, from Alexandria via LeMat-Bulk.

Cell: 3.808 6.057 7.739 Å, 56.25 90.02 71.70°
Fractional coordinates of all 7 atoms:
Pr (0.428, 0.146, 0.711)
Pr (0.572, 0.854, 0.289)
Al (0.861, 0.278, 0.320)
Al (0.139, 0.722, 0.680)
Tc (0.807, 0.386, 0.936)
Tc (0.193, 0.614, 0.064)
C (0.000, 0.000, 0.000)

Properties
For the raw total energy, the calculation gives -49.315 eV for the cell shown. As for the formation enthalpy at 0 K: -331 meV/atom. Its calculated volume is 137.4 Å³/f.u.

Results for DOS(E_F): 4.94, 3.08, 3.49, 6.77, 7.87, 1.90, 7.94, 3.30 (in states/eV/f.u., following the order of the records).